Entry A
{
  "formula": "Pr5Sm2Sc2",
  "functional": "PBE",
  "state": "relaxed",
  "spacegroup": "C2/m",
  "volume_a3_per_cell": 298.2,
  "lattice": [[-2.078, 2.781, -0.455], [-3.277, 1.607, 11.327], [3.288, 5.913, 7.657]],
  "species": ["Pr", "Pr", "Pr", "Pr", "Pr", "Sm", "Sm", "Sc", "Sc"],
  "fractional_positions": [[0.337, 0.989, 0.336], [0.663, 0.011, 0.664], [0.218, 0.354, 0.210], [0.782, 0.646, 0.790], [0.000, 0.000, 0.000], [0.055, 0.340, 0.550], [0.945, 0.660, 0.450], [0.401, 0.346, 0.851], [0.599, 0.654, 0.149]]
}

=====

Entry B
{
  "formula": "Pr5Sm2Sc2",
  "functional": "PBE",
  "state": "relaxed",
  "spacegroup": "Imma",
  "volume_a3_per_cell": 597.9,
  "lattice": [[10.116, 0.000, 0.000], [0.000, 5.584, 0.000], [-5.058, -2.792, 10.585]],
  "species": ["Pr", "Pr", "Pr", "Pr", "Pr", "Pr", "Pr", "Pr", "Pr", "Pr", "Sm", "Sm", "Sm", "Sm", "Sc", "Sc", "Sc", "Sc"],
  "fractional_positions": [[0.026, 0.316, 0.779], [0.974, 0.537, 0.221], [0.253, 0.816, 0.779], [0.747, 0.037, 0.221], [0.284, 0.082, 0.311], [0.716, 0.771, 0.689], [0.527, 0.582, 0.311], [0.473, 0.271, 0.689], [0.091, 0.176, 0.500], [0.909, 0.676, 0.500], [0.000, 0.926, 0.000], [0.500, 0.426, 0.000], [0.311, 0.676, 0.500], [0.689, 0.176, 0.500], [0.206, 0.471, 0.090], [0.794, 0.381, 0.910], [0.383, 0.971, 0.090], [0.617, 0.881, 0.910]]
}

=====

Tell me which of them is the least stable. Sure, it is entry A.

=====

Entry A
{
  "formula": "Pr5Sm4Sc",
  "functional": "PBE",
  "state": "relaxed",
  "spacegroup": "C2/m",
  "volume_a3_per_cell": 349.8,
  "lattice": [[3.645, 0.000, 0.000], [0.000, 10.395, 1.339], [-1.823, -0.296, 9.194]],
  "species": ["Pr", "Pr", "Pr", "Pr", "Pr", "Sm", "Sm", "Sm", "Sm", "Sc"],
  "fractional_positions": [[0.810, 0.601, 0.620], [0.859, 0.228, 0.718], [0.141, 0.772, 0.282], [0.500, 0.500, 0.000], [0.190, 0.399, 0.380], [0.319, 0.915, 0.639], [0.958, 0.768, 0.915], [0.681, 0.085, 0.361], [0.042, 0.232, 0.085], [0.500, 0.000, 0.000]]
}

=====

Entry B
{
  "formula": "Pr5Sm4Sc",
  "functional": "PBE",
  "state": "relaxed",
  "spacegroup": "C2/m",
  "volume_a3_per_cell": 342.6,
  "lattice": [[3.509, 0.000, -0.817], [-1.465, 9.542, -6.288], [0.890, -2.498, 11.760]],
  "species": ["Pr", "Pr", "Pr", "Pr", "Pr", "Sm", "Sm", "Sm", "Sm", "Sc"],
  "fractional_positions": [[0.206, 0.302, 0.412], [0.190, 0.798, 0.381], [0.810, 0.202, 0.619], [0.500, 0.500, 0.000], [0.794, 0.698, 0.588], [0.604, 0.916, 0.208], [0.082, 0.365, 0.164], [0.396, 0.084, 0.792], [0.918, 0.635, 0.836], [0.500, 0.000, 0.000]]
}

=====

Tell me which of them is the least stable. Sure, it is entry A.

=====

Entry A
{
  "formula": "Pr4SmSc2",
  "functional": "PBE",
  "state": "relaxed",
  "spacegroup": "C2/c",
  "volume_a3_per_cell": 473.6,
  "lattice": [[-3.413, -5.872, -4.022], [5.934, 4.938, 1.646], [1.279, -9.484, 15.977]],
  "species": ["Pr", "Pr", "Pr", "Pr", "Pr", "Pr", "Pr", "Pr", "Sm", "Sm", "Sc", "Sc", "Sc", "Sc"],
  "fractional_positions": [[0.397, 0.269, 0.415], [0.984, 0.326, 0.076], [0.674, 0.016, 0.424], [0.731, 0.603, 0.085], [0.269, 0.397, 0.915], [0.326, 0.984, 0.576], [0.016, 0.674, 0.924], [0.603, 0.731, 0.585], [0.902, 0.098, 0.250], [0.098, 0.902, 0.750], [0.429, 0.571, 0.750], [0.773, 0.227, 0.750], [0.571, 0.429, 0.250], [0.227, 0.773, 0.250]]
}

=====

Entry B
{
  "formula": "Pr4SmSc2",
  "functional": "PBE",
  "state": "relaxed",
  "spacegroup": "I4/mmm",
  "volume_a3_per_cell": 267.4,
  "lattice": [[-0.998, 3.668, 4.371], [-3.038, -4.098, 2.745], [8.663, -2.287, 0.059]],
  "species": ["Pr", "Pr", "Pr", "Pr", "Sm", "Sc", "Sc"],
  "fractional_positions": [[0.805, 0.805, 0.610], [0.195, 0.195, 0.390], [0.000, 0.500, 0.000], [0.500, 0.000, 0.000], [0.000, 0.000, 0.000], [0.400, 0.400, 0.799], [0.600, 0.600, 0.201]]
}

=====

Tell me which of them is the least stable. Sure, it is entry B.

=====

Entry A
{
  "formula": "Pr2Sm6Sc",
  "functional": "PBE",
  "state": "relaxed",
  "spacegroup": "Cmmm",
  "volume_a3_per_cell": 310.6,
  "lattice": [[5.353, -0.001, 0.001], [0.000, 7.621, 3.502], [-0.001, 1.421, 8.265]],
  "species": ["Pr", "Pr", "Sm", "Sm", "Sm", "Sm", "Sm", "Sm", "Sc"],
  "fractional_positions": [[0.500, 0.227, 0.227], [0.500, 0.773, 0.773], [0.000, 0.574, 0.143], [0.000, 0.857, 0.426], [0.000, 0.426, 0.857], [0.500, 0.739, 0.261], [0.000, 0.143, 0.574], [0.500, 0.261, 0.739], [0.000, 0.000, 0.000]]
}

=====

Entry B
{
  "formula": "Pr2Sm6Sc",
  "functional": "PBE",
  "state": "relaxed",
  "spacegroup": "C2/c",
  "volume_a3_per_cell": 596.8,
  "lattice": [[-4.348, -4.350, 0.547], [5.805, -7.638, -3.352], [4.298, -4.715, 7.909]],
  "species": ["Pr", "Pr", "Pr", "Pr", "Sm", "Sm", "Sm", "Sm", "Sm", "Sm", "Sm", "Sm", "Sm", "Sm", "Sm", "Sm", "Sc", "Sc"],
  "fractional_positions": [[0.437, 0.567, 0.777], [0.063, 0.223, 0.433], [0.563, 0.433, 0.223], [0.937, 0.777, 0.567], [0.489, 0.691, 0.408], [0.011, 0.592, 0.309], [0.511, 0.309, 0.592], [0.989, 0.408, 0.691], [0.637, 0.069, 0.340], [0.863, 0.660, 0.931], [0.363, 0.931, 0.660], [0.137, 0.340, 0.069], [0.328, 0.759, 0.027], [0.172, 0.973, 0.241], [0.672, 0.241, 0.973], [0.828, 0.027, 0.759], [0.250, 0.105, 0.895], [0.750, 0.895, 0.105]]
}

=====

Tell me which of them is the least stable. Sure, it is entry A.

=====

Entry A
{
  "formula": "PrSm4Sc2",
  "functional": "PBE",
  "state": "relaxed",
  "spacegroup": "P2_1/m",
  "volume_a3_per_cell": 443.3,
  "lattice": [[8.612, 0.000, -0.590], [0.000, 6.504, 0.000], [-3.893, 0.000, 8.182]],
  "species": ["Pr", "Pr", "Sm", "Sm", "Sm", "Sm", "Sm", "Sm", "Sm", "Sm", "Sc", "Sc", "Sc", "Sc"],
  "fractional_positions": [[0.237, 0.750, 0.157], [0.763, 0.250, 0.843], [0.632, 0.502, 0.234], [0.976, 0.750, 0.736], [0.024, 0.250, 0.264], [0.632, 0.998, 0.234], [0.937, 0.250, 0.591], [0.368, 0.002, 0.766], [0.368, 0.498, 0.766], [0.063, 0.750, 0.409], [0.791, 0.750, 0.988], [0.209, 0.250, 0.012], [0.448, 0.250, 0.443], [0.552, 0.750, 0.557]]
}

=====

Entry B
{
  "formula": "PrSm4Sc2",
  "functional": "PBE",
  "state": "relaxed",
  "spacegroup": "C2/c",
  "volume_a3_per_cell": 455.1,
  "lattice": [[-5.951, -5.385, 0.071], [7.615, 2.378, -0.879], [1.463, -0.526, 16.605]],
  "species": ["Pr", "Pr", "Sm", "Sm", "Sm", "Sm", "Sm", "Sm", "Sm", "Sm", "Sc", "Sc", "Sc", "Sc"],
  "fractional_positions": [[0.944, 0.056, 0.250], [0.056, 0.944, 0.750], [0.307, 0.155, 0.427], [0.751, 0.149, 0.081], [0.851, 0.249, 0.419], [0.845, 0.693, 0.073], [0.155, 0.307, 0.927], [0.149, 0.751, 0.581], [0.249, 0.851, 0.919], [0.693, 0.845, 0.573], [0.382, 0.618, 0.750], [0.731, 0.269, 0.750], [0.618, 0.382, 0.250], [0.269, 0.731, 0.250]]
}

=====

Tell me which of them is the least stable. Sure, it is entry B.

=====

Entry A
{
  "formula": "PrSm6Sc",
  "functional": "PBE",
  "state": "relaxed",
  "spacegroup": "P4/mmm",
  "volume_a3_per_cell": 262.6,
  "lattice": [[5.090, 0.000, 0.000], [0.000, 5.090, 0.000], [0.000, 0.000, 10.135]],
  "species": ["Pr", "Sm", "Sm", "Sm", "Sm", "Sm", "Sm", "Sc"],
  "fractional_positions": [[0.000, 0.000, 0.000], [0.500, 0.500, 0.000], [0.500, 0.500, 0.500], [0.500, 0.000, 0.258], [0.500, 0.000, 0.742], [0.000, 0.500, 0.258], [0.000, 0.500, 0.742], [0.000, 0.000, 0.500]]
}

=====

Entry B
{
  "formula": "PrSm6Sc",
  "functional": "PBE",
  "state": "relaxed",
  "spacegroup": "C2/m",
  "volume_a3_per_cell": 289.3,
  "lattice": [[-2.277, -4.518, 2.810], [2.672, 0.070, 5.133], [-6.291, 4.033, 5.435]],
  "species": ["Pr", "Sm", "Sm", "Sm", "Sm", "Sm", "Sm", "Sc"],
  "fractional_positions": [[0.500, 0.500, 0.500], [0.456, 0.942, 0.709], [0.942, 0.456, 0.709], [0.058, 0.544, 0.291], [0.544, 0.058, 0.291], [0.633, 0.633, 0.074], [0.367, 0.367, 0.926], [0.000, 0.000, 0.000]]
}

=====

Tell me which of them is the least stable. Sure, it is entry B.